(1)
A plane-wave DFT calculation with GGA-PBE was carried out for a relaxed VSn2Hg crystal.

Cell lengths 3.2822, 3.2822, 29.2535 Å; angles 90.00, 90.00, 120.00 degrees
Element x y z (fractional)
V: 0.0000 0.0000 0.0000
V: 0.3333 0.6667 0.6667
V: 0.6667 0.3333 0.3333
Sn: 0.0000 0.0000 0.4032
Sn: 0.0000 0.0000 0.5968
Sn: 0.3333 0.6667 0.0699
Sn: 0.3333 0.6667 0.2635
Sn: 0.6667 0.3333 0.7365
Sn: 0.6667 0.3333 0.9301
Hg: 0.0000 0.0000 0.5000
Hg: 0.3333 0.6667 0.1667
Hg: 0.6667 0.3333 0.8333

- DFT total energy: -4.1940 eV/atom

(2)
A plane-wave DFT calculation with GGA-PBE was carried out for a relaxed V2Sn2Hg crystal.

Cell lengths 7.3707, 7.3707, 3.5762 Å; angles 90.00, 90.00, 90.00 degrees
Element x y z (fractional)
V: 0.1151 0.3849 0.0000
V: 0.3849 0.8849 0.0000
V: 0.6151 0.1151 0.0000
V: 0.8849 0.6151 0.0000
Sn: 0.1759 0.6759 0.5000
Sn: 0.3241 0.1759 0.5000
Sn: 0.6759 0.8241 0.5000
Sn: 0.8241 0.3241 0.5000
Hg: 0.0000 0.0000 0.0000
Hg: 0.5000 0.5000 0.0000

- Relative energy among the computed polymorphs: 0 meV per atom

(3)
A plane-wave DFT calculation with GGA-PBE was carried out for a relaxed ZrVSn2Hg crystal.

Cell lengths 5.6295, 5.6295, 4.7100 Å; angles 90.00, 90.00, 90.00 degrees
Element x y z (fractional)
Zr: 0.0000 0.0000 0.0000
V: 0.0000 0.0000 0.5000
Sn: 0.0000 0.5000 0.0000
Sn: 0.5000 0.0000 0.0000
Hg: 0.5000 0.5000 0.5000

- DFT total energy: -4.3459 eV/atom

(4)
A plane-wave DFT calculation with GGA-PBE was carried out for a relaxed Sn3HgW crystal.

Cell lengths 5.4444, 5.4444, 5.4444 Å; angles 90.00, 90.00, 90.00 degrees
Element x y z (fractional)
Sn: 0.0000 0.0000 0.5000
Sn: 0.0000 0.5000 0.0000
Sn: 0.5000 0.0000 0.0000
Hg: 0.0000 0.0000 0.0000
W: 0.5000 0.5000 0.5000

- Relative energy among the computed polymorphs: 1332 meV per atom

no.,M_tot (μB/f.u.)
1,1.09
2,0.00
3,0.07
4,4.10